[1]
Y3Tm6In: optimized geometry, PBE.

**Energy of formation from the pure elements**: -0.07 eV per atom
**Uncorrected energy**: -4.968 eV per atom
**Fermi-level density of states**: 14.5 states/eV/f.u.

Cell: 9.562 5.501 12.256 Å, 90.00 110.66 90.00°
Space group P2_1/m (No. 11)
One atom of each set of equivalent atoms:
1 Y 0.024 0.250 0.374
2 Y 0.101 0.750 0.222
3 Y 0.273 0.250 0.974
4 Tm 0.039 0.750 0.930
5 Tm 0.197 0.250 0.671
6 Tm 0.263 0.750 0.515
7 Tm 0.346 0.250 0.296
8 Tm 0.348 0.750 0.826
9 Tm 0.426 0.750 0.140
10 In 0.469 0.250 0.583


[2]
Tb8Pr6Pb: optimized geometry, PBE.

**Energy of formation from the pure elements**: 0.06 eV per atom
**Uncorrected energy**: -4.572 eV per atom
**Fermi-level density of states**: 19.0 states/eV/f.u.

Cell: 9.4899 9.4899 6.5568 Å, 90.00 90.00 120.00°
Space group P-3 (No. 147)
One atom of each set of equivalent atoms:
1 Tb 0.0377 0.7747 0.3174
2 Tb 0.3333 0.6667 0.3504
3 Pr 0.0894 0.6421 0.8215
4 Pb 0.0000 0.0000 0.0000


[3]
AlInSn2: optimized geometry, PBE.

**Energy of formation from the pure elements**: 0.14 eV per atom
**Uncorrected energy**: -3.480 eV per atom
**Fermi-level density of states**: 1.6 states/eV/f.u.

Cell: 4.657 4.657 4.706 Å, 90.00 90.00 90.00°
Space group P4/mmm (No. 123)
One atom of each set of equivalent atoms:
1 Al 0.000 0.000 0.000
2 In 0.500 0.500 0.000
3 Sn 0.000 0.500 0.500


[4]
BaAlOs2: optimized geometry, PBE.

**Energy of formation from the pure elements**: 0.63 eV per atom
**Uncorrected energy**: -6.402 eV per atom
**Fermi-level density of states**: 4.4 states/eV/f.u.

Cell: 2.970 4.200 6.759 Å, 90.00 95.33 90.00°
Space group P2/m (No. 10)
One atom of each set of equivalent atoms:
1 Ba 0.000 0.000 0.000
2 Al 0.500 0.000 0.500
3 Os 0.243 0.500 0.661


[5]
HoAlIrRh: optimized geometry, PBE.

**Energy of formation from the pure elements**: -0.85 eV per atom
**Uncorrected energy**: -6.980 eV per atom
**Fermi-level density of states**: 1.1 states/eV/f.u.

Cell: 6.451 6.451 6.451 Å, 90.00 90.00 90.00°
Space group F-43m (No. 216)
One atom of each set of equivalent atoms:
1 Ho 0.000 0.000 0.000
2 Al 0.000 0.000 0.500
3 Ir 0.250 0.250 0.750
4 Rh 0.250 0.250 0.250


[6]
Er2TcMo3: optimized geometry, PBE.

**Energy of formation from the pure elements**: -0.03 eV per atom
**Uncorrected energy**: -8.698 eV per atom
**Fermi-level density of states**: 5.6 states/eV/f.u.

Cell: 9.471 5.454 5.469 Å, 90.00 125.10 90.00°
Space group C2/m (No. 12)
One atom of each set of equivalent atoms:
1 Er 0.126 0.000 0.377
2 Tc 0.000 0.500 0.500
3 Mo 0.000 0.500 0.000
4 Mo 0.250 0.250 0.000


[7]
Ca8TlRh2: optimized geometry, PBE.

**Energy of formation from the pure elements**: -0.29 eV per atom
**Uncorrected energy**: -3.298 eV per atom
**Fermi-level density of states**: 8.7 states/eV/f.u.

Cell: 9.077 13.397 5.717 Å, 90.00 103.41 90.00°
Space group Cm (No. 8)
One atom of each set of equivalent atoms:
1 Ca 0.000 0.000 0.000
2 Ca 0.078 0.365 0.787
3 Ca 0.187 0.135 0.626
4 Ca 0.265 0.500 0.413
5 Ca 0.382 0.247 0.207
6 Tl 0.383 0.000 0.206
7 Rh 0.382 0.317 0.707


[8]
PmZnIr: optimized geometry, PBE.

**Energy of formation from the pure elements**: -0.36 eV per atom
**Uncorrected energy**: -5.318 eV per atom
**Fermi-level density of states**: 1.7 states/eV/f.u.

Cell: 3.419 3.419 10.243 Å, 90.00 90.00 90.00°
Space group I4mm (No. 107)
One atom of each set of equivalent atoms:
1 Pm 0.000 0.000 0.000
2 Zn 0.000 0.000 0.291
3 Ir 0.000 0.000 0.676


[9]
SbAsSe2F: optimized geometry, PBE.

**Energy relative to the elements, uncorrected**: 0.568 eV per atom
**Uncorrected energy**: -2.954 eV per atom
**Fermi-level density of states**: 7.8 states/eV/f.u.

Cell: 5.252 5.252 5.489 Å, 90.00 90.00 90.00°
Space group P4/mmm (No. 123)
One atom of each set of equivalent atoms:
1 Sb 0.000 0.000 0.000
2 As 0.000 0.000 0.500
3 Se 0.000 0.500 0.000
4 F 0.500 0.500 0.500


[10]
CuH2Pd8: optimized geometry, PBE.

**Uncorrected energy**: -4.594 eV per atom
**Fermi-level density of states**: 15.6 states/eV/f.u.

Cell: 9.347 8.593 3.862 Å, 90.00 100.02 90.00°
Space group C2/m (No. 12)
One atom of each set of equivalent atoms:
1 Cu 0.000 0.000 0.000
2 H 0.202 0.000 0.109
3 Pd 0.105 0.500 0.787
4 Pd 0.113 0.265 0.278
5 Pd 0.182 0.000 0.621


[11]
LiCaInCl6: optimized geometry, PBE.

**Energy relative to the elements, uncorrected**: -1.656 eV per atom
**Uncorrected energy**: -3.627 eV per atom
**Fermi-level density of states**: 0.0 states/eV/f.u.

Cell: 6.7174 6.7174 11.8138 Å, 90.00 90.00 120.00°
Space group P-31c (No. 163)
One atom of each set of equivalent atoms:
1 Li 0.0000 0.0000 0.0000
2 Ca 0.3333 0.6667 0.2500
3 In 0.3333 0.6667 0.7500
4 Cl 0.0219 0.3511 0.6264


[12]
Dy2Ho4Tm: optimized geometry, PBE.

**Energy of formation from the pure elements**: 0.14 eV per atom
**Uncorrected energy**: -4.428 eV per atom
**Fermi-level density of states**: 12.0 states/eV/f.u.

Cell: 6.035 6.510 11.420 Å, 90.00 104.50 90.00°
Space group P2_1/m (No. 11)
One atom of each set of equivalent atoms:
1 Dy 0.104 0.250 0.495
2 Dy 0.215 0.250 0.075
3 Ho 0.153 0.005 0.788
4 Ho 0.348 0.750 0.055
5 Ho 0.472 0.750 0.640
6 Tm 0.348 0.750 0.340